Compound: NaAs2BrCl
Source: Alexandria via LeMat-Bulk
Functional: PBE
Structure: optimized geometry

Properties
VASP energy ... -12.8 eV/cell
Uncorrected formation energy ... 0.269 eV per atom
Relative energy among the computed polymorphs ... 0.00 kJ per mole of atoms

Structure (extended XYZ):
```
5
Lattice="4.7633 0.0000 0.0000 0.0000 4.7633 0.0000 0.0000 0.0000 7.4907" Properties=species:S:1:pos:R:3 pbc="T T T"
Na 2.3816 2.3816 3.7453
As 0.0000 2.3816 0.0000
As 2.3816 0.0000 0.0000
Br 0.0000 0.0000 3.7453
Cl 0.0000 0.0000 0.0000
```